Density functional theory data (PBE) for a relaxed Mg2AsRu crystal.

POSCAR file:
```
Mg2AsRu
1.0
7.487 0.000 0.000
0.000 7.487 0.000
3.744 3.744 2.594
Mg Ru As
4 2 2
Cartesian
9.359 9.351 1.945
5.607 1.872 0.648
5.615 5.623 1.945
1.880 5.615 0.648
0.000 0.000 0.000
7.487 3.744 1.297
3.744 3.744 0.000
3.744 7.487 1.297
```

Output
- density (Mg/m³) = 5.1
- calculated formation energy (meV/atom) = 247
- symmetry = I-42d, No. 122

=====

Density functional theory data (PBE) for a relaxed LaH2O2F crystal.

POSCAR file:
```
LaH2O2F
1.0
3.889 0.000 0.000
0.000 5.778 0.225
0.000 -1.878 6.374
O La F H
4 2 2 4
Cartesian
2.917 1.453 2.329
0.972 -0.421 2.163
0.972 2.446 4.269
2.917 4.320 4.436
2.917 1.054 4.683
0.972 2.846 1.916
0.972 0.111 5.950
2.917 3.789 0.648
2.105 3.727 4.534
1.784 0.172 2.065
0.160 0.172 2.065
3.729 3.727 4.534
```

Output
- density (Mg/m³) = 4.4
- total energy (hartree per atom) = -0.2305
- symmetry = P2_1/m, No. 11

=====

Density functional theory data (PBE) for a relaxed CaAgF5 crystal.

POSCAR file:
```
CaAgF5
1.0
4.970 -0.334 -1.172
-1.093 4.877 -1.173
1.357 1.587 8.275
F Ca Ag
10 2 2
Cartesian
4.105 2.844 3.565
1.292 1.544 4.780
0.712 5.016 6.505
1.129 3.287 2.365
2.387 0.606 1.482
4.521 1.115 -0.576
2.847 5.525 4.447
3.942 4.586 1.150
2.656 3.128 6.459
2.578 3.003 -0.529
2.485 -0.167 -0.586
3.164 0.627 3.551
4.324 2.880 0.309
0.910 3.251 5.621
```

Output
- density (Mg/m³) = 3.7
- energy above the most stable polymorph in this dataset (meV per atom) = 42.4
- symmetry = P-1, No. 2

=====

Density functional theory data (PBE) for a relaxed Li2TaFe crystal.

POSCAR file:
```
Li2TaFe
1.0
-1.392 -1.057 -1.941
-0.206 -2.222 1.357
-7.565 3.013 3.787
Fe Li Ta
1 2 1
Cartesian
-6.473 0.621 2.548
-3.949 1.573 1.977
-7.399 2.947 3.703
-2.690 -0.886 0.655
```

Output
- density (Mg/m³) = 6.8
- energy above the most stable polymorph in this dataset (meV per atom) = 433.6
- calculated formation energy (meV/atom) = 493
- symmetry = P4/mmm, No. 123

=====

Which value of density does entry 1 give? 5.1 Mg/m³